[1]
The following is a DFT calculation (PBE-GGA) of a relaxed structure of AgOsBr.

POSCAR file:
```
AgOsBr
1.0
3.031 0.000 0.000
-1.515 2.625 0.000
0.000 0.000 6.910
Ag Os Br
1 1 1
Direct
0.000 0.000 0.000 Ag
0.333 0.667 0.679 Os
0.667 0.333 0.400 Br
```

Calculated values
energy above the most stable polymorph in this dataset = 0.0000 eV/atom
SG = P3m1
raw formation energy = 0.9333 eV per atom

[2]
The following is a DFT calculation (PBE-GGA) of a relaxed structure of Na2MgFeSe.

POSCAR file:
```
Na2MgFeSe
1.0
6.007 0.000 0.000
0.000 6.007 0.000
0.000 0.000 4.796
Na Mg Fe Se
2 1 1 1
Direct
0.000 0.500 0.000 Na
0.500 0.000 0.000 Na
0.000 0.000 0.000 Mg
0.500 0.500 0.500 Fe
0.000 0.000 0.500 Se
```

Calculated values
SG = P4/mmm
raw formation energy = 0.6602 eV per atom

[3]
The following is a DFT calculation (PBE-GGA) of a relaxed structure of TbHo2Nb.

POSCAR file:
```
TbHo2Nb
1.0
1.645 0.950 11.564
-1.645 0.950 11.564
0.000 -1.900 11.564
Tb Ho Nb
1 2 1
Direct
0.000 0.000 0.000 Tb
0.417 0.417 0.417 Ho
0.583 0.583 0.583 Ho
0.500 0.500 0.500 Nb
```

Calculated values
E_tot = -5.438 eV per atom
SG = R-3m

| no. | size of the total moment (μB per cell) |
| --- | --- |
| 1 | 0.00 |
| 2 | 3.54 |
| 3 | 0.11 |